Density functional theory data (PBE) for crystalline CeMgAlAu2 at its relaxed geometry.

**Total energy**: -20.797 eV for the cell shown
**ΔE_f**: -594.2 meV per atom
**Mass density**: 8.9 g cm⁻³

abc: 4.2459 4.2459 6.7351
angles: 108.37 108.37 90.00
Last column: nearest neighbours and their distance in Å.
Fractional positions:
Ce1 0.0000 0.0000 0.0000  8 Au 3.31, 4 Mg 3.69, 4 Al 3.69
Mg1 0.2500 0.7500 0.5000  4 Au 2.67
Al1 0.7500 0.2500 0.5000  4 Au 2.67
Au1 0.6155 0.6155 0.2310  2 Mg 2.67, 2 Al 2.67, 1 Au 2.79
Au2 0.3845 0.3845 0.7690  2 Mg 2.67, 2 Al 2.67, 1 Au 2.79